(1)
First-principles (PBE-GGA) data for Sr3Ag after structural relaxation, as listed in Alexandria via LeMat-Bulk.

Values from the calculation:
E_form	-0.082	eV/atom
calculated volume	45.3	A^3/atom
density of states at the Fermi level	3.54	states/eV/cell
ΔE to the lowest computed polymorph	2.121	kcal/mol of atoms
spin magnetization	0.000	μB/atom
crystal system	hexagonal
E_tot	-2.0566	eV per atom

a = 4.2984 Å, b = 4.2984 Å, c = 11.3335 Å
α = 90.00°, β = 90.00°, γ = 120.00°
Closest atoms and distances in Å follow each position.
Fractional positions:
Sr  0.6667  0.3333  0.8130  3 Ag 3.26
Sr  0.6667  0.3333  0.1870  3 Ag 3.26
Ag  0.0000  0.0000  0.0000  6 Sr 3.26
Sr  0.0000  0.0000  0.5000  12 Sr 4.30-4.33

(2)
First-principles (PBE-GGA) data for Sr3Ag2 after structural relaxation, as listed in Alexandria via LeMat-Bulk.

Values from the calculation:
E_form	-0.202	eV/atom
calculated volume	39.0	A^3/atom
density of states at the Fermi level	5.29	states/eV/cell
ΔE to the lowest computed polymorph	1.491	kcal/mol of atoms
spin magnetization	0.000	μB/atom
crystal system	trigonal
E_tot	-2.3515	eV per atom

a = 7.9093 Å, b = 7.9093 Å, c = 8.5204 Å
α = 62.35°, β = 62.35°, γ = 60.00°
Closest atoms and distances in Å follow each position.
Fractional positions:
Ag  0.8174  0.8174  0.5478  1 Ag 2.91, 3 Sr 3.26
Sr  0.8817  0.2500  0.2500  4 Ag 3.26-3.30
Sr  0.6183  0.8817  0.2500  4 Ag 3.26-3.30
Ag  0.1826  0.1826  0.4522  1 Ag 2.91, 3 Sr 3.26
Ag  0.3174  0.3174  0.0478  1 Ag 2.91, 3 Sr 3.26
Ag  0.6826  0.6826  0.9522  1 Ag 2.91, 3 Sr 3.26
Sr  0.1183  0.7500  0.7500  4 Ag 3.26-3.30
Sr  0.2500  0.6183  0.2500  4 Ag 3.26-3.30
Sr  0.3817  0.1183  0.7500  4 Ag 3.26-3.30
Sr  0.7500  0.3817  0.7500  4 Ag 3.26-3.30

(3)
First-principles (PBE-GGA) data for SrAg after structural relaxation, as listed in Alexandria via LeMat-Bulk.

Values from the calculation:
E_form	-0.238	eV/atom
calculated volume	32.1	A^3/atom
density of states at the Fermi level	13.09	states/eV/cell
spin magnetization	0.000	μB/atom
crystal system	orthorhombic
E_tot	-2.5046	eV per atom

a = 7.1429 Å, b = 9.8310 Å, c = 10.9598 Å
α = 90.00°, β = 90.00°, γ = 90.00°
Closest atoms and distances in Å follow each position.
Fractional positions:
Ag  0.7500  0.9526  0.4209  7 Sr 3.41-3.58
Ag  0.7500  0.8510  0.8571  2 Ag 2.93, 2 Sr 3.22-3.23
Ag  0.2500  0.6490  0.8571  2 Ag 2.93, 2 Sr 3.22-3.23
Sr  0.2500  0.9762  0.8846  7 Ag 3.23-3.42
Sr  0.0000  0.7500  0.6137  6 Ag 3.36-3.45, 2 Sr 3.57
Ag  0.5000  0.7500  0.0491  2 Ag 2.93
Ag  0.7500  0.3510  0.1429  2 Ag 2.93, 2 Sr 3.22-3.23
Ag  0.0000  0.7500  0.0491  2 Ag 2.93
Ag  0.0000  0.2500  0.9509  2 Ag 2.93
Ag  0.7500  0.4526  0.5791  7 Sr 3.41-3.58
Sr  0.2500  0.4762  0.1154  7 Ag 3.23-3.42
Sr  0.2500  0.8689  0.2945  5 Ag 3.22-3.58
Sr  0.7500  0.0238  0.1154  7 Ag 3.23-3.42
Sr  0.5000  0.7500  0.6137  6 Ag 3.36-3.45, 2 Sr 3.57
Sr  0.5000  0.2500  0.3863  6 Ag 3.36-3.45, 2 Sr 3.57
Ag  0.2500  0.0474  0.5791  7 Sr 3.41-3.58
Sr  0.0000  0.2500  0.3863  6 Ag 3.36-3.45, 2 Sr 3.57
Ag  0.2500  0.1490  0.1429  2 Ag 2.93, 2 Sr 3.22-3.23
Sr  0.2500  0.3689  0.7055  5 Ag 3.22-3.58
Sr  0.7500  0.6311  0.2945  5 Ag 3.22-3.58
Sr  0.7500  0.1311  0.7055  5 Ag 3.22-3.58
Ag  0.5000  0.2500  0.9509  2 Ag 2.93
Ag  0.2500  0.5474  0.4209  7 Sr 3.41-3.58
Sr  0.7500  0.5238  0.8846  7 Ag 3.23-3.42

(4)
First-principles (PBE-GGA) data for SrAg5 after structural relaxation, as listed in Alexandria via LeMat-Bulk.

Values from the calculation:
E_form	-0.168	eV/atom
calculated volume	22.4	A^3/atom
density of states at the Fermi level	2.59	states/eV/cell
spin magnetization	0.000	μB/atom
crystal system	hexagonal
E_tot	-2.8244	eV per atom

a = 5.7846 Å, b = 5.7846 Å, c = 4.6450 Å
α = 90.00°, β = 90.00°, γ = 120.00°
Closest atoms and distances in Å follow each position.
Fractional positions:
Ag  0.6667  0.6667  0.5000  6 Ag 2.86
Ag  0.3333  0.4999  0.0000  8 Ag 2.86-2.89
Ag  0.0000  0.3333  0.5000  6 Ag 2.86
Sr  0.3333  0.0000  0.5000  18 Ag 3.34-3.71
Ag  0.8334  0.5001  0.0000  8 Ag 2.86-2.89
Ag  0.8333  0.0000  0.0000  8 Ag 2.86-2.89

(5)
First-principles (PBE-GGA) data for Sr5Ag3 after structural relaxation, as listed in Alexandria via LeMat-Bulk.

Values from the calculation:
E_form	-0.249	eV/atom
calculated volume	36.2	A^3/atom
density of states at the Fermi level	22.16	states/eV/cell
ΔE to the lowest computed polymorph	0.000	kcal/mol of atoms
spin magnetization	0.000	μB/atom
crystal system	tetragonal
E_tot	-2.3691	eV per atom

a = 8.4687 Å, b = 8.4687 Å, c = 16.1738 Å
α = 90.00°, β = 90.00°, γ = 90.00°
Closest atoms and distances in Å follow each position.
Fractional positions:
Ag  0.5000  0.0000  0.4952  9 Sr 3.58-3.87
Sr  0.0000  0.5000  0.2441  4 Ag 3.37
Ag  0.8782  0.1218  0.7500  1 Ag 2.92
Sr  0.8336  0.8268  0.8939  5 Ag 3.40-3.59
Sr  0.1732  0.1664  0.6061  5 Ag 3.40-3.59
Sr  0.6732  0.6664  0.3939  5 Ag 3.40-3.59
Sr  0.3336  0.3268  0.1061  5 Ag 3.40-3.59
Ag  0.1218  0.8782  0.7500  1 Ag 2.92
Sr  0.6664  0.3268  0.6061  5 Ag 3.40-3.59
Ag  0.0000  0.5000  0.0048  9 Sr 3.58-3.87
Ag  0.5000  0.0000  0.9952  9 Sr 3.58-3.87
Ag  0.6218  0.6218  0.7500  1 Ag 2.92
Sr  0.6664  0.6732  0.1061  5 Ag 3.40-3.59
Ag  0.0000  0.5000  0.5048  9 Sr 3.58-3.87
Sr  0.5000  0.0000  0.2559  4 Ag 3.37
Sr  0.8268  0.1664  0.1061  5 Ag 3.40-3.59
Sr  0.0000  0.5000  0.7441  4 Ag 3.37
Ag  0.8782  0.8782  0.2500  1 Ag 2.92
Sr  0.3268  0.3336  0.3939  5 Ag 3.40-3.59
Sr  0.1664  0.8268  0.3939  5 Ag 3.40-3.59
Sr  0.3268  0.6664  0.8939  5 Ag 3.40-3.59
Sr  0.5000  0.0000  0.7559  4 Ag 3.37
Ag  0.3782  0.6218  0.2500  1 Ag 2.92
Ag  0.6218  0.3782  0.2500  1 Ag 2.92
Sr  0.3336  0.6732  0.6061  5 Ag 3.40-3.59
Ag  0.1218  0.1218  0.2500  1 Ag 2.92
Sr  0.1664  0.1732  0.8939  5 Ag 3.40-3.59
Sr  0.6732  0.3336  0.8939  5 Ag 3.40-3.59
Sr  0.1732  0.8336  0.1061  5 Ag 3.40-3.59
Ag  0.3782  0.3782  0.7500  1 Ag 2.92
Sr  0.8268  0.8336  0.6061  5 Ag 3.40-3.59
Sr  0.8336  0.1732  0.3939  5 Ag 3.40-3.59

(6)
First-principles (PBE-GGA) data for SrAg after structural relaxation, as listed in Alexandria via LeMat-Bulk.

Values from the calculation:
E_form	0.219	eV/atom
calculated volume	46.8	A^3/atom
density of states at the Fermi level	3.11	states/eV/cell
spin magnetization	0.032	μB/atom
crystal system	cubic
E_tot	-2.0472	eV per atom

a = 5.0966 Å, b = 5.0966 Å, c = 5.0966 Å
α = 60.00°, β = 60.00°, γ = 60.00°
Closest atoms and distances in Å follow each position.
Fractional positions:
Sr  0.7500  0.7500  0.7500  4 Ag 3.12
Ag  0.0000  0.0000  0.0000  4 Sr 3.12

(7)
First-principles (PBE-GGA) data for Sr3Ag after structural relaxation, as listed in Alexandria via LeMat-Bulk.

Values from the calculation:
E_form	0.107	eV/atom
calculated volume	42.5	A^3/atom
density of states at the Fermi level	3.56	states/eV/cell
ΔE to the lowest computed polymorph	6.484	kcal/mol of atoms
spin magnetization	0.000	μB/atom
crystal system	trigonal
E_tot	-1.8674	eV per atom

a = 7.1765 Å, b = 7.1765 Å, c = 7.1765 Å
α = 116.72°, β = 116.72°, γ = 116.72°
Closest atoms and distances in Å follow each position.
Fractional positions:
Sr  0.5000  0.0000  0.5000  6 Sr 3.76-3.95, 2 Ag 3.76
Sr  0.0000  0.5000  0.5000  2 Ag 3.76, 6 Sr 3.76-3.95
Ag  0.0000  0.0000  0.0000  6 Sr 3.76, 2 Ag 3.95
Sr  0.5000  0.5000  0.0000  6 Sr 3.76-3.95, 2 Ag 3.76

(8)
First-principles (PBE-GGA) data for SrAg3 after structural relaxation, as listed in Alexandria via LeMat-Bulk.

Values from the calculation:
E_form	-0.109	eV/atom
calculated volume	23.7	A^3/atom
density of states at the Fermi level	1.11	states/eV/cell
spin magnetization	0.000	μB/atom
crystal system	tetragonal
E_tot	-2.6677	eV per atom

a = 5.1139 Å, b = 5.1139 Å, c = 5.1211 Å
α = 119.95°, β = 119.95°, γ = 90.00°
Closest atoms and distances in Å follow each position.
Fractional positions:
Ag  0.2500  0.7500  0.5000  4 Ag 3.13, 4 Sr 3.13
Sr  0.0000  0.0000  0.0000  8 Ag 3.13
Ag  0.5000  0.5000  0.0000  8 Ag 3.13
Ag  0.7500  0.2500  0.5000  4 Ag 3.13, 4 Sr 3.13

(9)
First-principles (PBE-GGA) data for Sr3Ag after structural relaxation, as listed in Alexandria via LeMat-Bulk.

Values from the calculation:
E_form	0.094	eV/atom
calculated volume	40.9	A^3/atom
density of states at the Fermi level	4.51	states/eV/cell
ΔE to the lowest computed polymorph	6.184	kcal/mol of atoms
spin magnetization	0.000	μB/atom
crystal system	cubic
E_tot	-1.8804	eV per atom

a = 6.1411 Å, b = 6.1411 Å, c = 6.1411 Å
α = 60.00°, β = 60.00°, γ = 60.00°
Closest atoms and distances in Å follow each position.
Fractional positions:
Sr  0.2500  0.2500  0.2500  4 Ag 3.76, 4 Sr 3.76
Sr  0.5000  0.5000  0.5000  8 Sr 3.76
Sr  0.7500  0.7500  0.7500  4 Ag 3.76, 4 Sr 3.76
Ag  0.0000  0.0000  0.0000  8 Sr 3.76

(10)
First-principles (PBE-GGA) data for SrAg3 after structural relaxation, as listed in Alexandria via LeMat-Bulk.

Values from the calculation:
E_form	-0.051	eV/atom
calculated volume	25.3	A^3/atom
density of states at the Fermi level	0.99	states/eV/cell
spin magnetization	0.000	μB/atom
crystal system	tetragonal
E_tot	-2.6099	eV per atom

a = 4.3964 Å, b = 4.3964 Å, c = 5.2371 Å
α = 90.00°, β = 90.00°, γ = 90.00°
Closest atoms and distances in Å follow each position.
Fractional positions:
Ag  0.0000  0.0000  0.8824  6 Ag 2.85-3.11
Ag  0.5000  0.0000  0.5363  4 Ag 2.85
Ag  0.5000  0.5000  0.8824  6 Ag 2.85-3.11
Sr  0.0000  0.5000  0.3656  12 Ag 3.23-3.49

(11)
First-principles (PBE-GGA) data for SrAg after structural relaxation, as listed in Alexandria via LeMat-Bulk.

Values from the calculation:
E_form	-0.213	eV/atom
calculated volume	34.6	A^3/atom
density of states at the Fermi level	2.03	states/eV/cell
spin magnetization	0.000	μB/atom
crystal system	hexagonal
E_tot	-2.4796	eV per atom

a = 4.9656 Å, b = 4.9656 Å, c = 6.4903 Å
α = 90.00°, β = 90.00°, γ = 120.00°
Closest atoms and distances in Å follow each position.
Fractional positions:
Sr  0.6667  0.3333  0.7500  6 Ag 3.29
Ag  0.0000  0.0000  0.5000  2 Ag 3.25, 6 Sr 3.29
Ag  0.0000  0.0000  0.0000  2 Ag 3.25, 6 Sr 3.29
Sr  0.3333  0.6667  0.2500  6 Ag 3.29

(12)
First-principles (PBE-GGA) data for SrAg after structural relaxation, as listed in Alexandria via LeMat-Bulk.

Values from the calculation:
E_form	-0.157	eV/atom
calculated volume	33.9	A^3/atom
density of states at the Fermi level	8.71	states/eV/cell
spin magnetization	0.000	μB/atom
crystal system	tetragonal
E_tot	-2.4237	eV per atom

a = 9.3244 Å, b = 9.3244 Å, c = 6.2415 Å
α = 90.00°, β = 90.00°, γ = 90.00°
Closest atoms and distances in Å follow each position.
Fractional positions:
Ag  0.7963  0.0716  0.5000  2 Ag 2.85
Sr  0.5733  0.7965  0.5000  4 Ag 3.24-3.31
Sr  0.4267  0.2035  0.5000  4 Ag 3.24-3.31
Ag  0.2963  0.5716  0.0000  2 Ag 2.85
Ag  0.4284  0.2963  0.0000  2 Ag 2.85
Ag  0.7037  0.4284  0.0000  2 Ag 2.85
Ag  0.5716  0.7037  0.0000  2 Ag 2.85
Ag  0.9284  0.7963  0.5000  2 Ag 2.85
Sr  0.7035  0.0733  0.0000  4 Ag 3.24-3.31
Sr  0.2965  0.9267  0.0000  4 Ag 3.24-3.31
Sr  0.7965  0.4267  0.5000  4 Ag 3.24-3.31
Sr  0.9267  0.7035  0.0000  4 Ag 3.24-3.31
Ag  0.2037  0.9284  0.5000  2 Ag 2.85
Ag  0.0716  0.2037  0.5000  2 Ag 2.85
Sr  0.0733  0.2965  0.0000  4 Ag 3.24-3.31
Sr  0.2035  0.5733  0.5000  4 Ag 3.24-3.31

density of states at the Fermi level of number 6 (SrAg)? 3.11 states/eV/cell